Record 1
Compound: FeIrAu4
Source: the Alexandria database
Functional: PBE-GGA
Structure: relaxed

The structure belongs to space group F-43m (No. 216); the cell edges are 7.590, 7.590 and 7.590 Å and the angles 90.00°, 90.00° and 90.00°. The distinct sites, in fractional coordinates, are Fe at (0.000, 0.000, 0.000), Ir at (0.250, 0.250, 0.750) and Au at (0.125, 0.125, 0.375).

The calculation puts the total moment at 4.05 μB per formula unit. As for the calculated formation energy: 0.666 eV per atom.



Record 2
Compound: AcLaDy2Y
Source: the Alexandria database
Functional: PBE-GGA
Structure: relaxed

The structure belongs to space group P2_1/m (No. 11); the cell edges are 6.421, 5.908 and 9.869 Å and the angles 90.00°, 108.78° and 90.00°. The distinct sites, in fractional coordinates, are Ac at (0.231, 0.250, 0.301), La at (0.044, 0.250, 0.902), Dy at (0.370, 0.750, 0.903), Dy at (0.429, 0.250, 0.703) and Y at (0.169, 0.750, 0.503).

The calculation puts the total moment at 0.00 μB per formula unit. As for the calculated formation energy: 0.043 eV per atom.



total moment of number 1 (FeIrAu4)?
4.05 μB per formula unit